# 1
Compound: Na2CdSiO4
Source: the Alexandria database
Functional: GGA-PBE
Structure: optimized geometry

abc: 5.0875 5.0875 8.8187
angles: 90.00 90.00 90.00
Element x y z (fractional)
Na (0.0000, 0.0000, 0.0000)
Na (0.0000, 0.5000, 0.2500)
Na (0.5000, 0.0000, 0.7500)
Na (0.5000, 0.5000, 0.5000)
Cd (0.0000, 0.0000, 0.5000)
Cd (0.5000, 0.5000, 0.0000)
Si (0.0000, 0.5000, 0.7500)
Si (0.5000, 0.0000, 0.2500)
O (0.1846, 0.6986, 0.6451)
O (0.1986, 0.3154, 0.8549)
O (0.3014, 0.1846, 0.3549)
O (0.3154, 0.8014, 0.1451)
O (0.6846, 0.1986, 0.1451)
O (0.6986, 0.8154, 0.3549)
O (0.8014, 0.6846, 0.8549)
O (0.8154, 0.3014, 0.6451)

Summary:
M_tot	0.00	μB per formula unit
electronic total energy	-5.616	eV/atom

---

# 2
Compound: NaSmCdO3
Source: the Alexandria database
Functional: GGA-PBE
Structure: optimized geometry

abc: 6.2628 3.3699 8.8446
angles: 90.00 109.60 90.00
Element x y z (fractional)
Na (0.1446, 0.2500, 0.0927)
Na (0.8554, 0.7500, 0.9073)
Sm (0.3297, 0.7500, 0.8080)
Sm (0.6703, 0.2500, 0.1920)
Cd (0.2676, 0.7500, 0.4030)
Cd (0.7324, 0.2500, 0.5970)
O (0.0468, 0.2500, 0.8024)
O (0.3510, 0.2500, 0.5872)
O (0.3959, 0.7500, 0.0855)
O (0.6041, 0.2500, 0.9145)
O (0.6490, 0.7500, 0.4128)
O (0.9532, 0.7500, 0.1976)

Summary:
M_tot	0.00	μB per formula unit
electronic total energy	-5.650	eV/atom

---

# 3
Compound: Na2Sr2CdO4
Source: the Alexandria database
Functional: GGA-PBE
Structure: optimized geometry

abc: 7.0041 7.0041 6.2379
angles: 105.84 105.84 28.75
Element x y z (fractional)
Na (0.1732, 0.1732, 0.0291)
Na (0.8268, 0.8268, 0.9709)
Sr (0.3659, 0.3659, 0.4790)
Sr (0.6341, 0.6341, 0.5210)
Cd (0.5000, 0.5000, 0.0000)
O (0.0016, 0.0016, 0.2453)
O (0.2547, 0.2547, 0.7358)
O (0.7453, 0.7453, 0.2642)
O (0.9984, 0.9984, 0.7547)

Summary:
M_tot	0.00	μB per formula unit
electronic total energy	-4.711	eV/atom

---

# 4
Compound: Na2TaCd2O6
Source: the Alexandria database
Functional: GGA-PBE
Structure: optimized geometry

abc: 5.6317 5.6317 6.0114
angles: 101.54 101.54 116.38
Element x y z (fractional)
Na (0.1754, 0.8246, 0.0000)
Na (0.8246, 0.1754, 0.0000)
Ta (0.0000, 0.0000, 0.5000)
Cd (0.3377, 0.6623, 0.5000)
Cd (0.6623, 0.3377, 0.5000)
O (0.0555, 0.3588, 0.7140)
O (0.2165, 0.2165, 0.3064)
O (0.3588, 0.0555, 0.7140)
O (0.6412, 0.9445, 0.2860)
O (0.7835, 0.7835, 0.6936)
O (0.9445, 0.6412, 0.2860)

Summary:
M_tot	1.07	μB per formula unit
electronic total energy	-5.866	eV/atom

---

# 5
Compound: Na3TaCd2O6
Source: the Alexandria database
Functional: GGA-PBE
Structure: optimized geometry

abc: 5.7275 5.7275 5.8561
angles: 99.84 99.84 119.63
Element x y z (fractional)
Na (0.0000, 0.0000, 0.0000)
Na (0.3312, 0.6688, 0.0000)
Na (0.6688, 0.3312, 0.0000)
Ta (0.5000, 0.5000, 0.5000)
Cd (0.1668, 0.8332, 0.5000)
Cd (0.8332, 0.1668, 0.5000)
O (0.1379, 0.4288, 0.2825)
O (0.2811, 0.2811, 0.7088)
O (0.4288, 0.1379, 0.2825)
O (0.5712, 0.8621, 0.7175)
O (0.7189, 0.7189, 0.2912)
O (0.8621, 0.5712, 0.7175)

Summary:
M_tot	0.00	μB per formula unit
electronic total energy	-5.782	eV/atom

---

# 6
Compound: Na2TaCdO4
Source: the Alexandria database
Functional: GGA-PBE
Structure: optimized geometry

abc: 5.1899 5.1899 10.3116
angles: 90.00 90.00 90.00
Element x y z (fractional)
Na (0.0000, 0.0000, 0.0000)
Na (0.0000, 0.5000, 0.2500)
Na (0.5000, 0.0000, 0.7500)
Na (0.5000, 0.5000, 0.5000)
Ta (0.0000, 0.5000, 0.7500)
Ta (0.5000, 0.0000, 0.2500)
Cd (0.0000, 0.0000, 0.5000)
Cd (0.5000, 0.5000, 0.0000)
O (0.2029, 0.2848, 0.8555)
O (0.2152, 0.7029, 0.6445)
O (0.2848, 0.7971, 0.1445)
O (0.2971, 0.2152, 0.3555)
O (0.7029, 0.7848, 0.3555)
O (0.7152, 0.2029, 0.1445)
O (0.7848, 0.2971, 0.6445)
O (0.7971, 0.7152, 0.8555)

Summary:
M_tot	0.00	μB per formula unit
electronic total energy	-6.331	eV/atom

---

# 7
Compound: NaTbCdO3
Source: the Alexandria database
Functional: GGA-PBE
Structure: optimized geometry

abc: 6.1808 3.3092 8.8783
angles: 90.00 109.84 90.00
Element x y z (fractional)
Na (0.1419, 0.2500, 0.0968)
Na (0.8581, 0.7500, 0.9032)
Tb (0.3352, 0.7500, 0.8136)
Tb (0.6648, 0.2500, 0.1864)
Cd (0.2601, 0.7500, 0.4096)
Cd (0.7399, 0.2500, 0.5904)
O (0.0525, 0.2500, 0.8007)
O (0.3577, 0.2500, 0.5955)
O (0.3940, 0.7500, 0.0820)
O (0.6060, 0.2500, 0.9180)
O (0.6423, 0.7500, 0.4045)
O (0.9475, 0.7500, 0.1993)

Summary:
M_tot	0.00	μB per formula unit
electronic total energy	-5.673	eV/atom

---

# 8
Compound: Na2CdTcO4
Source: the Alexandria database
Functional: GGA-PBE
Structure: optimized geometry

abc: 5.6732 5.6732 7.4480
angles: 90.00 90.00 90.00
Element x y z (fractional)
Na (0.0000, 0.0000, 0.0000)
Na (0.0000, 0.5000, 0.2500)
Na (0.5000, 0.0000, 0.7500)
Na (0.5000, 0.5000, 0.5000)
Cd (0.0000, 0.5000, 0.7500)
Cd (0.5000, 0.0000, 0.2500)
Tc (0.0000, 0.0000, 0.5000)
Tc (0.5000, 0.5000, 0.0000)
O (0.2088, 0.7697, 0.5927)
O (0.2303, 0.2088, 0.4073)
O (0.2697, 0.2912, 0.9073)
O (0.2912, 0.7303, 0.0927)
O (0.7088, 0.2697, 0.0927)
O (0.7303, 0.7088, 0.9073)
O (0.7697, 0.7912, 0.4073)
O (0.7912, 0.2303, 0.5927)

Summary:
M_tot	0.98	μB per formula unit
electronic total energy	-5.452	eV/atom

---

# 9
Compound: NaCd2TcO6
Source: the Alexandria database
Functional: GGA-PBE
Structure: optimized geometry

abc: 5.6086 5.6960 9.8427
angles: 90.00 123.28 90.00
Element x y z (fractional)
Na (0.0000, 0.0000, 0.0000)
Na (0.0000, 0.5000, 0.5000)
Cd (0.2292, 0.0366, 0.7372)
Cd (0.2292, 0.4634, 0.2372)
Cd (0.7708, 0.5366, 0.7628)
Cd (0.7708, 0.9634, 0.2628)
Tc (0.5000, 0.0000, 0.5000)
Tc (0.5000, 0.5000, 0.0000)
O (0.1759, 0.0926, 0.2836)
O (0.1759, 0.4074, 0.7836)
O (0.2484, 0.6546, 0.0405)
O (0.2484, 0.8454, 0.5405)
O (0.4536, 0.2224, 0.0873)
O (0.4536, 0.2776, 0.5873)
O (0.5464, 0.7224, 0.4127)
O (0.5464, 0.7776, 0.9127)
O (0.7516, 0.1546, 0.4595)
O (0.7516, 0.3454, 0.9595)
O (0.8241, 0.5926, 0.2164)
O (0.8241, 0.9074, 0.7164)

Summary:
M_tot	0.00	μB per formula unit
electronic total energy	-5.522	eV/atom

---

# 10
Compound: Na3Cd3TcO8
Source: the Alexandria database
Functional: GGA-PBE
Structure: optimized geometry

abc: 6.6876 6.6876 6.6876
angles: 60.59 60.59 60.59
Element x y z (fractional)
Na (0.0000, 0.5000, 0.5000)
Na (0.5000, 0.0000, 0.5000)
Na (0.5000, 0.5000, 0.0000)
Cd (0.0000, 0.0000, 0.5000)
Cd (0.0000, 0.5000, 0.0000)
Cd (0.5000, 0.0000, 0.0000)
Tc (0.5000, 0.5000, 0.5000)
O (0.2330, 0.2330, 0.2330)
O (0.2975, 0.2975, 0.7007)
O (0.2975, 0.7007, 0.2975)
O (0.2993, 0.7025, 0.7025)
O (0.7007, 0.2975, 0.2975)
O (0.7025, 0.2993, 0.7025)
O (0.7025, 0.7025, 0.2993)
O (0.7670, 0.7670, 0.7670)

Summary:
M_tot	0.00	μB per formula unit
electronic total energy	-5.080	eV/atom

---

# 11
Compound: NaCd2TeO4
Source: the Alexandria database
Functional: GGA-PBE
Structure: optimized geometry

abc: 6.5294 6.5294 6.8087
angles: 113.58 113.58 92.57
Element x y z (fractional)
Na (0.0000, 0.5000, 0.0000)
Na (0.5000, 0.0000, 0.5000)
Cd (0.0000, 0.0000, 0.0000)
Cd (0.0000, 0.0000, 0.5000)
Cd (0.0000, 0.5000, 0.5000)
Cd (0.5000, 0.0000, 0.0000)
Te (0.5000, 0.5000, 0.0000)
Te (0.5000, 0.5000, 0.5000)
O (0.2126, 0.2226, 0.3845)
O (0.2226, 0.2126, 0.8845)
O (0.2668, 0.7216, 0.9779)
O (0.2784, 0.7332, 0.5221)
O (0.7216, 0.2668, 0.4779)
O (0.7332, 0.2784, 0.0221)
O (0.7774, 0.7874, 0.1155)
O (0.7874, 0.7774, 0.6155)

Summary:
M_tot	0.00	μB per formula unit
electronic total energy	-4.276	eV/atom

---

# 12
Compound: Na2CdTeO4
Source: the Alexandria database
Functional: GGA-PBE
Structure: optimized geometry

abc: 6.8009 6.8009 6.8009
angles: 120.67 119.96 89.46
Element x y z (fractional)
Na (0.0000, 0.0000, 0.0000)
Na (0.5000, 0.0000, 0.0000)
Na (0.5000, 0.0000, 0.5000)
Na (0.5000, 0.5000, 0.5000)
Cd (0.0000, 0.5000, 0.5000)
Cd (0.5000, 0.5000, 0.0000)
Te (0.0000, 0.0000, 0.5000)
Te (0.0000, 0.5000, 0.0000)
O (0.2255, 0.2361, 0.5106)
O (0.2255, 0.7150, 0.9894)
O (0.2274, 0.2502, 0.9772)
O (0.2269, 0.7498, 0.4772)
O (0.7731, 0.2502, 0.5228)
O (0.7726, 0.7498, 0.0228)
O (0.7745, 0.2850, 0.0106)
O (0.7745, 0.7639, 0.4894)

Summary:
M_tot	0.00	μB per formula unit
electronic total energy	-4.533	eV/atom

---

# 13
Compound: NaCdTe2O6
Source: the Alexandria database
Functional: GGA-PBE
Structure: optimized geometry

abc: 7.1656 7.1656 6.2632
angles: 101.33 101.33 91.49
Element x y z (fractional)
Na (0.2040, 0.7960, 0.7500)
Na (0.7960, 0.2040, 0.2500)
Cd (0.4233, 0.5767, 0.2500)
Cd (0.5767, 0.4233, 0.7500)
Te (0.0913, 0.3156, 0.8599)
Te (0.3156, 0.0913, 0.3599)
Te (0.6844, 0.9087, 0.6401)
Te (0.9087, 0.6844, 0.1401)
O (0.0905, 0.4638, 0.1863)
O (0.1074, 0.2043, 0.5258)
O (0.2043, 0.1074, 0.0258)
O (0.3020, 0.4905, 0.8810)
O (0.4638, 0.0905, 0.6863)
O (0.4905, 0.3020, 0.3810)
O (0.5095, 0.6980, 0.6190)
O (0.5362, 0.9095, 0.3137)
O (0.6980, 0.5095, 0.1190)
O (0.7957, 0.8926, 0.9742)
O (0.8926, 0.7957, 0.4742)
O (0.9095, 0.5362, 0.8137)

Summary:
M_tot	0.00	μB per formula unit
electronic total energy	-4.890	eV/atom

---

# 14
Compound: Na3Cd2TeO6
Source: the Alexandria database
Functional: GGA-PBE
Structure: optimized geometry

abc: 5.8255 5.8255 5.8889
angles: 99.82 99.82 119.78
Element x y z (fractional)
Na (0.0000, 0.0000, 0.0000)
Na (0.3333, 0.6667, 0.0000)
Na (0.6667, 0.3333, 0.0000)
Cd (0.1669, 0.8330, 0.5000)
Cd (0.8330, 0.1669, 0.5000)
Te (0.5000, 0.5000, 0.5000)
O (0.1326, 0.4285, 0.2830)
O (0.2756, 0.2756, 0.7091)
O (0.4285, 0.1326, 0.2830)
O (0.5715, 0.8674, 0.7170)
O (0.7244, 0.7244, 0.2909)
O (0.8674, 0.5715, 0.7170)

Summary:
M_tot	0.00	μB per formula unit
electronic total energy	-4.529	eV/atom

---

# 15
Compound: Na3TiCd2O6
Source: the Alexandria database
Functional: GGA-PBE
Structure: optimized geometry

abc: 5.6461 5.6461 5.8371
angles: 99.80 99.80 119.54
Element x y z (fractional)
Na (0.0000, 0.0000, 0.0000)
Na (0.3323, 0.6677, 0.0000)
Na (0.6677, 0.3323, 0.0000)
Ti (0.5000, 0.5000, 0.5000)
Cd (0.1672, 0.8328, 0.5000)
Cd (0.8328, 0.1672, 0.5000)
O (0.1383, 0.4300, 0.2844)
O (0.2790, 0.2790, 0.7067)
O (0.4300, 0.1383, 0.2844)
O (0.5700, 0.8617, 0.7156)
O (0.7210, 0.7210, 0.2933)
O (0.8617, 0.5700, 0.7156)

Summary:
M_tot	1.09	μB per formula unit
electronic total energy	-5.287	eV/atom

---

# 16
Compound: Na2TiCd3O6
Source: the Alexandria database
Functional: GGA-PBE
Structure: optimized geometry

abc: 5.7793 5.7793 5.5804
angles: 100.29 100.29 119.75
Element x y z (fractional)
Na (0.1662, 0.8338, 0.0000)
Na (0.8338, 0.1662, 0.0000)
Ti (0.5000, 0.5000, 0.0000)
Cd (0.0000, 0.0000, 0.5000)
Cd (0.3294, 0.6706, 0.5000)
Cd (0.6706, 0.3294, 0.5000)
O (0.1302, 0.4246, 0.7624)
O (0.2917, 0.2917, 0.2088)
O (0.4246, 0.1302, 0.7624)
O (0.5754, 0.8698, 0.2376)
O (0.7083, 0.7083, 0.7912)
O (0.8698, 0.5754, 0.2376)

Summary:
M_tot	0.00	μB per formula unit
electronic total energy	-5.218	eV/atom

---

# 17
Compound: Na2Ti3CdO8
Source: the Alexandria database
Functional: GGA-PBE
Structure: optimized geometry

abc: 6.4709 6.4709 6.4709
angles: 56.43 56.43 56.43
Element x y z (fractional)
Na (0.0000, 0.0000, 0.0000)
Na (0.3751, 0.3751, 0.3751)
Ti (0.3725, 0.3725, 0.8827)
Ti (0.3725, 0.8827, 0.3725)
Ti (0.8827, 0.3725, 0.3725)
Cd (0.7519, 0.7519, 0.7519)
O (0.1211, 0.1211, 0.5653)
O (0.1211, 0.5653, 0.1211)
O (0.1417, 0.1417, 0.1417)
O (0.1809, 0.6267, 0.6267)
O (0.5653, 0.1211, 0.1211)
O (0.6111, 0.6111, 0.6111)
O (0.6267, 0.1809, 0.6267)
O (0.6267, 0.6267, 0.1809)

Summary:
M_tot	0.00	μB per formula unit
electronic total energy	-7.243	eV/atom

---

# 18
Compound: NaTlCdO3
Source: the Alexandria database
Functional: GGA-PBE
Structure: optimized geometry

abc: 5.8732 3.4144 8.2897
angles: 90.00 90.87 90.00
Element x y z (fractional)
Na (0.0798, 0.2500, 0.1664)
Na (0.9202, 0.7500, 0.8336)
Tl (0.4114, 0.2500, 0.8310)
Tl (0.5886, 0.7500, 0.1690)
Cd (0.2430, 0.7500, 0.4953)
Cd (0.7570, 0.2500, 0.5047)
O (0.1009, 0.2500, 0.6588)
O (0.2739, 0.7500, 0.9944)
O (0.4265, 0.2500, 0.3325)
O (0.5735, 0.7500, 0.6675)
O (0.7261, 0.2500, 0.0056)
O (0.8991, 0.7500, 0.3412)

Summary:
M_tot	0.00	μB per formula unit
electronic total energy	-4.290	eV/atom

---

# 19
Compound: NaTlCd2O4
Source: the Alexandria database
Functional: GGA-PBE
Structure: optimized geometry

abc: 4.8145 4.8145 9.4618
angles: 90.00 90.00 90.00
Element x y z (fractional)
Na (0.0000, 0.0000, 0.0000)
Na (0.5000, 0.5000, 0.5000)
Tl (0.0000, 0.0000, 0.5000)
Tl (0.5000, 0.5000, 0.0000)
Cd (0.0000, 0.5000, 0.2500)
Cd (0.0000, 0.5000, 0.7500)
Cd (0.5000, 0.0000, 0.2500)
Cd (0.5000, 0.0000, 0.7500)
O (0.0000, 0.0000, 0.2642)
O (0.0000, 0.0000, 0.7358)
O (0.0000, 0.5000, 0.0000)
O (0.0000, 0.5000, 0.5000)
O (0.5000, 0.0000, 0.0000)
O (0.5000, 0.0000, 0.5000)
O (0.5000, 0.5000, 0.2358)
O (0.5000, 0.5000, 0.7642)

Summary:
M_tot	0.00	μB per formula unit
electronic total energy	-4.196	eV/atom

---

# 20
Compound: Na3Tl2CdO6
Source: the Alexandria database
Functional: GGA-PBE
Structure: optimized geometry

abc: 5.8752 5.8752 5.9139
angles: 99.53 99.53 120.01
Element x y z (fractional)
Na (0.0000, 0.0000, 0.0000)
Na (0.3357, 0.6643, 0.0000)
Na (0.6643, 0.3357, 0.0000)
Tl (0.1667, 0.8333, 0.5000)
Tl (0.8333, 0.1667, 0.5000)
Cd (0.5000, 0.5000, 0.5000)
O (0.0898, 0.4247, 0.2743)
O (0.2402, 0.2402, 0.7253)
O (0.4247, 0.0898, 0.2743)
O (0.5753, 0.9102, 0.7257)
O (0.7598, 0.7598, 0.2747)
O (0.9102, 0.5753, 0.7257)

Summary:
M_tot	1.13	μB per formula unit
electronic total energy	-4.312	eV/atom

---

| no. | calculated volume (A^3/atom) | uncorrected formation energy (meV per atom) |
| --- | --- | --- |
| 1 | 14.3 | -2015.4 |
| 2 | 14.7 | -2012.4 |
| 3 | 15.7 | -1738.7 |
| 4 | 14.4 | -1677.4 |
| 5 | 13.1 | -1832.9 |
| 6 | 17.4 | -1925.9 |
| 7 | 14.2 | -2049.9 |
| 8 | 15.0 | -1233.4 |
| 9 | 13.1 | -1196.0 |
| 10 | 14.3 | -1297.7 |
| 11 | 14.8 | -1010.3 |
| 12 | 13.8 | -1216.8 |
| 13 | 15.4 | -1063.7 |
| 14 | 13.6 | -1305.3 |
| 15 | 12.7 | -1667.8 |
| 16 | 12.6 | -1632.1 |
| 17 | 12.6 | -2463.9 |
| 18 | 13.9 | -1044.4 |
| 19 | 13.7 | -1027.4 |
| 20 | 13.9 | -1032.6 |